This record from the Alexandria database describes a geometry-optimized CaAc14Pr structure. The functional is PBE.

Cell and atoms, written as POSCAR:
```
CaAc14Pr
1.0
11.2518 0.0000 0.0000
0.0000 5.6156 5.6155
0.0000 -5.6156 5.6155
Ca Ac Pr
1 14 1
direct
0.0000 0.0000 0.0000
0.0000 0.5010 0.9986
0.0000 0.9986 0.5010
0.2474 0.2524 0.2524
0.2484 0.2524 0.7472
0.2484 0.7472 0.2524
0.2493 0.7472 0.7472
0.5000 0.9998 0.9998
0.5000 0.0007 0.4989
0.5000 0.4989 0.0007
0.5000 0.4998 0.4998
0.7507 0.7472 0.7472
0.7516 0.2524 0.7472
0.7516 0.7472 0.2524
0.7526 0.2524 0.2524
0.0000 0.4997 0.4997
```

Calculated values
M_tot = 0.00 μB/atom
mass density = 7.9 g cm⁻³
SG = No. 38
ΔH_f (0 K) = 0.21 eV/f.u.
uncorrected energy = -64.09 eV per cell